A plane-wave DFT calculation with GGA+U was carried out for crystalline CoTePbO at its relaxed geometry.

The structure in POSCAR format:
```
CoTePbO
1.0
7.545 0.000 0.000
0.000 8.007 0.000
0.000 0.000 12.744
Co Te Pb O
8 8 8 8
direct
0.082 0.196 0.062
0.082 0.304 0.562
0.418 0.696 0.062
0.418 0.804 0.562
0.582 0.196 0.438
0.582 0.304 0.938
0.918 0.696 0.438
0.918 0.804 0.938
0.241 0.563 0.464
0.241 0.937 0.964
0.259 0.063 0.464
0.259 0.437 0.964
0.741 0.563 0.036
0.741 0.937 0.536
0.759 0.063 0.036
0.759 0.437 0.536
0.138 0.586 0.741
0.138 0.914 0.241
0.362 0.086 0.741
0.362 0.414 0.241
0.638 0.586 0.759
0.638 0.914 0.259
0.862 0.086 0.759
0.862 0.414 0.259
0.107 0.247 0.207
0.107 0.253 0.707
0.393 0.747 0.207
0.393 0.753 0.707
0.607 0.247 0.293
0.607 0.253 0.793
0.893 0.747 0.293
0.893 0.753 0.793
```

Results
Relative energy among the computed polymorphs = 0.50 eV per formula unit
Space group = No. 61